Run i
Computed, not measured: NaGe2Au2 after structural relaxation at the PBE-GGA level of DFT.

Unit cell a=4.5793 b=4.5793 c=10.2353 alpha=90.00 beta=90.00 gamma=90.00
Closest atoms and distances in Å follow each position.
Space group I4/mmm (No. 139)
Unique sites:
Na: 0.0000 0.0000 0.0000 (multiplicity 2)  8 Au 3.43, 8 Ge 3.48
Ge: 0.0000 0.0000 0.3767 (multiplicity 4)  1 Ge 2.52, 4 Au 2.63
Au: 0.0000 0.5000 0.2500 (multiplicity 4)  4 Ge 2.63

Values from the calculation:
Magnetic moment: 0.0 μB/f.u.
Calculated volume: 21.46 Å³ per atom

***

Run ii
Computed, not measured: NaGe2Au2 after structural relaxation at the PBE-GGA level of DFT.

Unit cell a=4.6292 b=4.6292 c=10.5597 alpha=90.00 beta=90.00 gamma=90.00
Closest atoms and distances in Å follow each position.
Space group I4/mmm (No. 139)
Unique sites:
Na: 0.0000 0.0000 0.0000 (multiplicity 2)  8 Ge 3.51, 10 Au 3.56-3.88
Ge: 0.0000 0.5000 0.2500 (multiplicity 4)  4 Au 2.62
Au: 0.0000 0.0000 0.3670 (multiplicity 4)  4 Ge 2.62, 1 Au 2.81

Values from the calculation:
Magnetic moment: 0.0 μB/f.u.
Calculated volume: 22.63 Å³ per atom

***

Run iii
Computed, not measured: NaGe2Au2 after structural relaxation at the PBE-GGA level of DFT.

Unit cell a=8.1452 b=8.1452 c=3.0504 alpha=90.00 beta=90.00 gamma=90.00
Closest atoms and distances in Å follow each position.
Space group P4/mbm (No. 127)
Unique sites:
Na: 0.0000 0.0000 0.0000 (multiplicity 2)  2 Na 3.05, 4 Au 3.11
Ge: 0.1496 0.3504 0.5000 (multiplicity 4)  6 Au 2.79-2.86, 2 Ge 3.05
Au: 0.1476 0.6476 0.0000 (multiplicity 4)  6 Ge 2.79-2.86, 2 Au 3.05, 2 Na 3.11

Values from the calculation:
Magnetic moment: 0.0 μB/f.u.
Calculated volume: 20.24 Å³ per atom

***

Energy relative to the most stable one, in meV/atom: run i 0; run ii 63; run iii 101

***

Run i
Computed, not measured: NaGe2Au2 after structural relaxation at the PBE-GGA level of DFT.

Unit cell a=4.7642 b=4.6580 c=9.8104 alpha=90.00 beta=91.27 gamma=90.00
Closest atoms and distances in Å follow each position.
Space group P2_1/m (No. 11)
Unique sites:
Na: 0.2386 0.2500 0.2452 (multiplicity 2)  5 Au 3.15-3.51, 6 Ge 3.32-3.47
Ge: 0.1797 0.2500 0.6085 (multiplicity 2)  5 Au 2.56-2.69
Ge: 0.2944 0.7500 0.0015 (multiplicity 2)  4 Au 2.66-2.74
Au: 0.1912 0.2500 0.8690 (multiplicity 2)  5 Ge 2.56-2.74
Au: 0.3185 0.7500 0.5109 (multiplicity 2)  4 Ge 2.61-2.69, 2 Au 2.91

Values from the calculation:
Magnetic moment: 0.0 μB/f.u.
Calculated volume: 21.77 Å³ per atom

***

Run ii
Computed, not measured: NaGe2Au2 after structural relaxation at the PBE-GGA level of DFT.

Unit cell a=8.1867 b=8.1867 c=3.0039 alpha=90.00 beta=90.00 gamma=90.00
Closest atoms and distances in Å follow each position.
Space group P4/mbm (No. 127)
Unique sites:
Na: 0.0000 0.0000 0.0000 (multiplicity 2)  2 Na 3.00, 4 Ge 3.17
Ge: 0.1383 0.3617 0.0000 (multiplicity 4)  6 Au 2.78-2.87, 2 Ge 3.00
Au: 0.1601 0.6601 0.5000 (multiplicity 4)  6 Ge 2.78-2.87, 2 Au 3.00

Values from the calculation:
Magnetic moment: 0.0 μB/f.u.
Calculated volume: 20.13 Å³ per atom

***

Energy relative to the most stable one, in meV/atom: run i 0; run ii 95

***

Run i
Computed, not measured: Na2GeAu2 after structural relaxation at the PBE-GGA level of DFT.

Unit cell a=8.5427 b=8.5427 c=2.9216 alpha=90.00 beta=90.00 gamma=90.00
Closest atoms and distances in Å follow each position.
Space group P4/mbm (No. 127)
Unique sites:
Na: 0.1325 0.3675 0.0000 (multiplicity 4)  6 Au 2.84-2.95, 2 Na 2.92
Ge: 0.0000 0.0000 0.0000 (multiplicity 2)  2 Ge 2.92
Au: 0.1654 0.6654 0.5000 (multiplicity 4)  6 Na 2.84-2.95, 2 Au 2.92

Values from the calculation:
Magnetic moment: 0.0 μB/f.u.
Calculated volume: 21.32 Å³ per atom

***

Run ii
Computed, not measured: Na2GeAu2 after structural relaxation at the PBE-GGA level of DFT.

Unit cell a=3.9879 b=3.9879 c=13.9928 alpha=90.00 beta=90.00 gamma=90.00
Closest atoms and distances in Å follow each position.
Space group I4/mmm (No. 139)
Unique sites:
Na: 0.0000 0.5000 0.2500 (multiplicity 4)  4 Na 2.82, 4 Au 2.93
Ge: 0.0000 0.0000 0.0000 (multiplicity 2)  8 Au 3.13
Au: 0.0000 0.0000 0.4035 (multiplicity 4)  1 Au 2.70, 4 Na 2.93

Values from the calculation:
Magnetic moment: 0.0 μB/f.u.
Calculated volume: 22.25 Å³ per atom

***

Run iii
Computed, not measured: Na2GeAu2 after structural relaxation at the PBE-GGA level of DFT.

Unit cell a=6.8199 b=6.8199 c=4.8159 alpha=90.00 beta=90.00 gamma=90.00
Closest atoms and distances in Å follow each position.
Space group P4/mbm (No. 127)
Unique sites:
Na: 0.1684 0.3316 0.0000 (multiplicity 4)  6 Au 3.00-3.23, 1 Na 3.25
Ge: 0.0000 0.0000 0.5000 (multiplicity 2)  4 Au 2.61
Au: 0.1464 0.6464 0.5000 (multiplicity 4)  2 Ge 2.61, 1 Au 2.82

Values from the calculation:
Magnetic moment: 0.0 μB/f.u.
Calculated volume: 22.40 Å³ per atom

***

Energy relative to the most stable one, in meV/atom: run i 229; run ii 343; run iii 0

***

Run i
Computed, not measured: NaGeAu4 after structural relaxation at the PBE-GGA level of DFT.

Unit cell a=7.9006 b=7.9006 c=7.9006 alpha=90.00 beta=90.00 gamma=90.00
Closest atoms and distances in Å follow each position.
Space group F-43m (No. 216)
Unique sites:
Na: 0.0000 0.0000 0.0000 (multiplicity 4)  12 Au 3.27, 4 Ge 3.42
Ge: 0.2500 0.2500 0.7500 (multiplicity 4)  12 Au 3.28, 4 Na 3.42
Au: 0.1252 0.1252 0.3748 (multiplicity 16)  6 Au 2.79-2.80

Values from the calculation:
Magnetic moment: 0.0 μB/f.u.
Calculated volume: 20.55 Å³ per atom

***

Run ii
Computed, not measured: NaGeAu4 after structural relaxation at the PBE-GGA level of DFT.

Unit cell a=4.9282 b=5.3565 c=9.3976 alpha=106.42 beta=104.63 gamma=90.11
Closest atoms and distances in Å follow each position.
Space group P-1 (No. 2)
Unique sites:
Na: 0.2503 0.1689 0.0003 (multiplicity 2)  10 Au 2.92-3.18, 2 Na 3.05-3.06
Ge: 0.0000 0.5000 0.5000 (multiplicity 1)  8 Au 2.70-2.89
Ge: 0.5000 0.0000 0.5000 (multiplicity 1)  8 Au 2.69-2.89
Au: 0.0834 0.0089 0.6642 (multiplicity 2)  3 Ge 2.70-2.89, 4 Au 2.89-2.98, 1 Na 2.92
Au: 0.1620 0.5620 0.8215 (multiplicity 2)  1 Ge 2.84, 7 Au 2.89-3.13, 4 Na 3.01-3.18
Au: 0.3374 0.7407 0.1784 (multiplicity 2)  1 Ge 2.85, 7 Au 2.89-3.13, 4 Na 3.02-3.17
Au: 0.4175 0.3447 0.3363 (multiplicity 2)  3 Ge 2.69-2.89, 4 Au 2.89-2.98, 1 Na 2.92

Values from the calculation:
Magnetic moment: 0.0 μB/f.u.
Calculated volume: 19.13 Å³ per atom

***

Energy relative to the most stable one, in meV/atom: run i 40; run ii 0